Entry 1:
! GGA-PBEsol TaCo3Au, relaxed; values from VASP
! - formation enthalpy at 0 K (eV per formula unit) = 9.25
! - E (eV/atom) = -6.088
&SYSTEM
  ibrav = 0, nat = 5, ntyp = 3
/
ATOMIC_SPECIES
Co 58.93 Co.upf
Ta 180.95 Ta.upf
Au 196.97 Au.upf
ATOMIC_POSITIONS crystal
Co 0.000 0.500 0.000
Co 0.500 0.000 0.000
Co 0.000 0.000 0.500
Ta 0.500 0.500 0.500
Au 0.000 0.000 0.000
CELL_PARAMETERS angstrom
4.461 0.000 0.000
0.000 4.461 0.000
0.000 0.000 4.461

Entry 2:
! GGA-PBEsol SiAs2Ru, relaxed; values from VASP
! - E (eV/atom) = -6.247
! - uncorrected formation energy (eV per atom) = 0.29
&SYSTEM
  ibrav = 0, nat = 4, ntyp = 3
/
ATOMIC_SPECIES
Si 28.09 Si.upf
As 74.92 As.upf
Ru 101.07 Ru.upf
ATOMIC_POSITIONS crystal
Si 0.500 0.500 0.500
As 0.000 0.000 0.500
As 0.000 0.500 0.000
Ru 0.500 0.000 0.000
CELL_PARAMETERS angstrom
3.081 0.000 0.000
0.000 4.510 0.014
0.000 -1.160 4.359

Entry 3:
! GGA-PBEsol IrPb, relaxed; values from VASP
! - formation enthalpy at 0 K (eV per formula unit) = 0.58
! - E (eV/atom) = -6.619
&SYSTEM
  ibrav = 0, nat = 4, ntyp = 2
/
ATOMIC_SPECIES
Pb 207.20 Pb.upf
Ir 192.22 Ir.upf
ATOMIC_POSITIONS crystal
Pb 0.667 0.333 0.750
Pb 0.333 0.667 0.250
Ir 0.000 0.000 0.000
Ir 0.000 0.000 0.500
CELL_PARAMETERS angstrom
4.114 0.000 0.000
-2.057 3.563 0.000
0.000 0.000 5.621

Entry 4:
! GGA-PBEsol SrCa3, relaxed; values from VASP
! - formation enthalpy at 0 K (eV per formula unit) = 0.09
! - energy above the most stable polymorph in this dataset (eV per formula unit) = 0.051
! - E (eV/atom) = -2.037
&SYSTEM
  ibrav = 0, nat = 4, ntyp = 2
/
ATOMIC_SPECIES
Ca 40.08 Ca.upf
Sr 87.62 Sr.upf
ATOMIC_POSITIONS crystal
Ca 0.500 0.500 0.500
Ca 0.250 0.250 0.250
Ca 0.750 0.750 0.750
Sr 0.000 0.000 0.000
CELL_PARAMETERS angstrom
6.226 0.000 0.000
3.113 5.392 0.000
3.113 1.797 5.083

What is the E in the second record?
-6.247 eV/atom